Record 1
Compound: Ac3Sn4Ge3
Source: Alexandria
Functional: GGA-PBE
Structure: relaxed

Output
Its space-group type is I-43d (220). For the formation energy, the calculation gives -0.458 eV/atom. For the final energy, the calculation gives -4.68 eV per atom.

```
Ac3Sn4Ge3
1.0
-5.284 5.284 5.284
5.284 -5.284 5.284
5.284 5.284 -5.284
Ac Sn Ge
6 8 6
Cartesian
7.926 1.321 0.000
3.963 0.000 2.642
2.642 3.963 0.000
0.000 2.642 3.963
1.321 0.000 7.926
0.000 7.926 1.321
4.347 0.937 -0.937
6.988 -1.705 1.705
0.937 0.937 0.937
0.937 -0.937 4.347
-0.937 4.347 0.937
1.705 6.988 -1.705
3.579 3.579 3.579
-1.705 1.705 6.988
5.284 -2.642 3.963
3.963 5.284 -2.642
5.284 2.642 1.321
2.642 1.321 5.284
1.321 5.284 2.642
-2.642 3.963 5.284
```

=====

Record 2
Compound: Ac3Sn5Ge
Source: Alexandria
Functional: GGA-PBE
Structure: relaxed

Output
Its space-group type is P-62m (189). For the formation energy, the calculation gives -0.540 eV/atom. For the final energy, the calculation gives -4.65 eV per atom.

```
Ac3Sn5Ge
1.0
8.260 0.000 0.000
-4.130 7.153 0.000
0.000 0.000 4.753
Ac Sn Ge
3 5 1
Cartesian
-2.557 4.429 0.000
1.572 2.724 0.000
5.115 0.000 0.000
-1.029 1.782 2.377
2.058 0.000 2.377
0.000 4.769 2.377
4.130 2.384 2.377
3.101 5.371 2.377
0.000 0.000 0.000
```

=====

Record 3
Compound: Ac4Sn3Ge5
Source: Alexandria
Functional: GGA-PBE
Structure: relaxed

Output
Its space-group type is C2/m (12). For the formation energy, the calculation gives -0.338 eV/atom. For the final energy, the calculation gives -4.63 eV per atom.

```
Ac4Sn3Ge5
1.0
7.844 -2.467 0.000
7.844 2.467 0.000
-7.321 0.000 9.968
Ac Sn Ge
4 3 5
Cartesian
-1.591 0.000 4.287
-2.277 0.000 8.307
10.643 0.000 1.661
9.957 0.000 5.681
0.000 0.000 0.000
5.470 0.000 1.680
2.896 0.000 8.288
1.375 0.000 3.382
3.801 0.000 3.801
7.844 0.000 0.000
4.565 0.000 6.167
6.991 0.000 6.586
```

=====

Record 4
Compound: Ac2Sn2Ge3
Source: Alexandria
Functional: GGA-PBE
Structure: relaxed

Output
Its space-group type is C2/m (12). As for the energy above the most stable polymorph in this dataset: 0.000 eV per atom. For the formation energy, the calculation gives -0.465 eV/atom. For the final energy, the calculation gives -4.76 eV per atom.

```
Ac2Sn2Ge3
1.0
8.130 -2.345 0.000
8.130 2.345 0.000
-8.009 0.000 10.573
Ac Sn Ge
4 4 6
Cartesian
-1.084 0.000 3.643
1.995 0.000 0.585
6.256 0.000 9.988
9.335 0.000 6.931
-1.398 0.000 7.397
4.455 0.000 3.337
3.796 0.000 7.237
9.649 0.000 3.176
-3.900 0.000 8.746
2.056 0.000 4.673
0.701 0.000 9.333
7.550 0.000 1.241
6.195 0.000 5.901
12.150 0.000 1.828
```

=====

Record 5
Compound: Ac3SnGe2
Source: Alexandria
Functional: GGA-PBE
Structure: relaxed

Output
Its space-group type is R-3c (167). As for the energy above the most stable polymorph in this dataset: 0.000 eV per atom. For the formation energy, the calculation gives -0.638 eV/atom. For the final energy, the calculation gives -4.90 eV per atom.

```
Ac3SnGe2
1.0
4.266 2.463 6.766
-4.266 2.463 6.766
0.000 -4.926 6.766
Ac Sn Ge
6 2 4
Cartesian
-2.961 -0.203 8.457
-1.305 -2.666 11.840
1.656 -2.463 8.457
-1.656 2.463 11.840
1.305 2.666 8.457
2.961 0.203 11.840
0.000 0.000 0.000
0.000 0.000 10.149
0.000 0.000 3.078
0.000 0.000 7.071
0.000 0.000 13.226
0.000 0.000 17.220
```

=====

Record 6
Compound: Ac3SnGe
Source: Alexandria
Functional: GGA-PBE
Structure: relaxed

Output
Its space-group type is C2/m (12). As for the energy above the most stable polymorph in this dataset: 0.066 eV per atom. For the formation energy, the calculation gives -0.560 eV/atom. For the final energy, the calculation gives -4.75 eV per atom.

```
Ac3SnGe
1.0
6.352 -2.490 0.000
6.352 2.490 0.000
-2.083 0.000 11.728
Ac Sn Ge
6 2 2
Cartesian
0.939 0.000 2.480
0.703 0.000 6.933
4.649 0.000 1.231
5.973 0.000 10.496
9.919 0.000 4.795
9.682 0.000 9.248
4.435 0.000 7.120
6.186 0.000 4.608
1.504 0.000 9.977
9.117 0.000 1.751
```

=====

Record 7
Compound: Ac6SnGe3
Source: Alexandria
Functional: GGA-PBE
Structure: relaxed

Output
Its space-group type is P2_1/m (11). For the formation energy, the calculation gives -0.571 eV/atom. For the final energy, the calculation gives -4.82 eV per atom.

```
Ac6SnGe3
1.0
12.858 0.000 0.000
0.000 4.677 0.000
-4.182 0.000 12.645
Ac Sn Ge
12 2 6
Cartesian
-1.292 1.169 4.965
-2.547 1.169 11.984
1.798 3.508 3.409
0.682 3.508 9.522
2.637 1.169 6.824
5.012 3.508 1.186
3.664 1.169 11.459
6.040 3.508 5.821
7.994 1.169 3.124
6.879 1.169 9.236
11.224 3.508 0.662
9.969 3.508 7.681
4.458 1.169 3.804
4.219 3.508 8.841
-0.099 1.169 2.119
0.362 3.508 6.305
0.561 1.169 11.590
8.115 3.508 1.055
8.315 1.169 6.341
8.776 3.508 10.527
```

=====

Record 8
Compound: Ac6SnGe5
Source: Alexandria
Functional: GGA-PBE
Structure: relaxed

Output
Its space-group type is C2/m (12). For the formation energy, the calculation gives -0.530 eV/atom. For the final energy, the calculation gives -4.84 eV per atom.

```
Ac6SnGe5
1.0
4.078 -6.901 0.000
4.078 6.901 0.000
-2.620 0.000 7.497
Ac Sn Ge
6 1 5
Cartesian
0.003 2.394 5.553
1.257 0.000 1.895
0.003 -2.394 5.553
5.534 2.394 1.944
4.279 0.000 5.602
5.534 -2.394 1.944
4.078 0.000 0.000
-1.310 0.000 3.749
4.078 4.544 0.000
2.768 2.169 3.749
2.768 -2.169 3.749
4.078 -4.544 0.000
```

=====

Record 9
Compound: Ac12Sn5Ge2
Source: Alexandria
Functional: GGA-PBE
Structure: relaxed

Output
Its space-group type is C2/m (12). For the formation energy, the calculation gives -0.415 eV/atom. For the final energy, the calculation gives -4.55 eV per atom.

```
Ac12Sn5Ge2
1.0
9.224 -4.279 0.000
9.224 4.279 0.000
-2.735 0.000 10.276
Ac Sn Ge
12 5 2
Cartesian
-0.489 0.000 2.292
3.576 2.267 9.255
5.416 2.243 4.506
10.298 2.243 5.770
12.138 2.267 1.021
7.941 0.000 1.830
7.773 0.000 8.446
3.576 -2.267 9.255
5.416 -2.243 4.506
10.298 -2.243 5.770
12.138 -2.267 1.021
16.203 0.000 7.984
1.063 0.000 8.549
2.860 0.000 3.734
7.857 0.000 5.138
12.854 0.000 6.542
14.651 0.000 1.727
9.224 2.153 0.000
9.224 -2.153 0.000
```

=====

Record 10
Compound: Ac12Sn3Ge4
Source: Alexandria
Functional: GGA-PBE
Structure: relaxed

Output
Its space-group type is Im-3 (204). For the formation energy, the calculation gives -0.315 eV/atom. For the final energy, the calculation gives -4.51 eV per atom.

```
Ac12Sn3Ge4
1.0
-5.976 5.976 5.976
5.976 -5.976 5.976
5.976 5.976 -5.976
Ac Sn Ge
12 3 4
Cartesian
5.976 3.513 -2.263
3.712 0.000 2.463
8.239 0.000 2.463
2.463 3.712 0.000
3.513 -2.263 5.976
5.976 3.513 2.263
0.000 2.463 3.712
2.463 8.239 0.000
3.513 2.263 5.976
-2.263 5.976 3.513
2.263 5.976 3.513
0.000 2.463 8.239
5.976 0.000 0.000
0.000 5.976 0.000
0.000 0.000 5.976
2.988 2.988 -2.988
2.988 -2.988 2.988
-2.988 2.988 2.988
2.988 2.988 2.988
```

=====

Record 11
Compound: AcTbSnGe
Source: Alexandria
Functional: GGA-PBE
Structure: relaxed

Output
Its space-group type is F-43m (216). For the formation energy, the calculation gives -0.496 eV/atom. For the final energy, the calculation gives -4.84 eV per atom.

```
AcTbSnGe
1.0
0.000 3.868 3.868
3.868 0.000 3.868
3.868 3.868 0.000
Ac Tb Sn Ge
1 1 1 1
Cartesian
0.000 0.000 0.000
3.868 3.868 3.868
5.802 5.802 5.802
1.934 1.934 1.934
```

=====

Record 12
Compound: Ac6SnGe2Te3
Source: Alexandria
Functional: GGA-PBE
Structure: relaxed

Output
Its space-group type is C2/m (12). For the final energy, the calculation gives -5.12 eV per atom.

```
Ac6SnGe2Te3
1.0
10.357 -2.353 0.000
10.357 2.353 0.000
-2.285 0.000 9.272
Ac Sn Ge Te
6 1 2 3
Cartesian
-0.408 0.000 2.299
5.784 0.000 3.999
4.877 0.000 8.315
13.552 0.000 0.957
12.645 0.000 5.273
18.837 0.000 6.972
10.357 0.000 0.000
2.704 0.000 3.108
15.724 0.000 6.163
1.516 0.000 7.721
9.214 0.000 4.636
16.912 0.000 1.551
```

=====

The lowest final energy belongs to which entry?
Ac6SnGe2Te3

=====

The highest final energy belongs to which entry?
Ac12Sn3Ge4